Computed, not measured: a relaxed NdYPt2 crystal at the PBE-GGA level of DFT.

Cell lengths 3.8598, 4.5284, 5.7062 Å; angles 90.00, 109.82, 90.00 degrees
Element x y z (fractional)
Nd (0.4443, 0.5000, 0.4275)
Y (0.7196, 0.0000, 0.9782)
Pt (0.1706, 0.5000, 0.8803)
Pt (0.9965, 0.0000, 0.5319)

Values from the calculation:
symmetry = No. 38
energy = -7.025 eV per atom
theoretical density = 11.03 g/cm3
DFT formation energy = -4.8 eV per formula unit
density of states at the Fermi level = 0.65 states/eV per atom
distance to the lowest polymorph of the same formula = 0.000 eV per atom